Entry 1:
{"formula": "CsBi2B2S6", "functional": "PBE", "state": "relaxed", "formation_energy_uncorrected_ev_per_atom": -0.463, "n_ef_per_ev_cell": 2.696, "density_g_cm3": 3.64, "total_energy_ev_per_atom": -4.71, "cell": [[-6.614, -3.448, 6.239], [1.632, -5.248, 3.919], [0.748, 5.312, 3.533]], "species": ["Cs", "Bi", "Bi", "B", "B", "S", "S", "S", "S", "S", "S"], "frac_coords": [[0.500, 0.000, 0.500], [0.867, 0.346, 0.755], [0.133, 0.654, 0.245], [0.187, 0.769, 0.832], [0.813, 0.231, 0.168], [0.250, 0.863, 0.093], [0.865, 0.462, 0.213], [0.179, 0.921, 0.635], [0.135, 0.538, 0.787], [0.821, 0.079, 0.365], [0.750, 0.137, 0.907]]}

=====

Entry 2:
{"formula": "CsBiBSe4", "functional": "PBE", "state": "relaxed", "formation_energy_uncorrected_ev_per_atom": -0.435, "n_ef_per_ev_cell": 10.253, "density_g_cm3": 5.25, "total_energy_ev_per_atom": -4.06, "cell": [[6.641, 0.000, -0.256], [0.000, 6.765, 0.000], [-2.943, 0.000, 9.523]], "species": ["Cs", "Cs", "Bi", "Bi", "B", "B", "Se", "Se", "Se", "Se", "Se", "Se", "Se", "Se"], "frac_coords": [[0.714, 0.750, 0.934], [0.286, 0.250, 0.066], [0.772, 0.750, 0.455], [0.228, 0.250, 0.545], [0.219, 0.750, 0.339], [0.781, 0.250, 0.661], [0.996, 0.487, 0.704], [0.004, 0.987, 0.296], [0.004, 0.513, 0.296], [0.996, 0.013, 0.704], [0.395, 0.750, 0.204], [0.605, 0.250, 0.796], [0.406, 0.750, 0.549], [0.594, 0.250, 0.451]]}

=====

Entry 3:
{"formula": "Cs2BiBSe4", "functional": "PBE", "state": "relaxed", "formation_energy_uncorrected_ev_per_atom": -0.590, "density_g_cm3": 4.24, "total_energy_ev_per_atom": -3.87, "cell": [[6.623, 0.000, 0.000], [3.311, 7.390, 0.000], [3.311, 0.000, 12.825]], "species": ["Cs", "Cs", "Cs", "Cs", "Bi", "Bi", "B", "B", "Se", "Se", "Se", "Se", "Se", "Se", "Se", "Se"], "frac_coords": [[0.180, 0.000, 0.641], [0.820, 0.000, 0.359], [0.570, 0.500, 0.859], [0.930, 0.500, 0.141], [0.750, 0.500, 0.500], [0.000, 0.000, 0.000], [0.250, 0.500, 0.500], [0.500, 0.000, 0.000], [0.363, 0.830, 0.098], [0.291, 0.170, 0.902], [0.807, 0.830, 0.902], [0.539, 0.170, 0.098], [0.387, 0.670, 0.402], [0.459, 0.330, 0.598], [0.943, 0.670, 0.598], [0.211, 0.330, 0.402]]}

=====

Entry 4:
{"formula": "Cs2BiBSe", "functional": "PBE", "state": "relaxed", "formation_energy_uncorrected_ev_per_atom": 0.268, "n_ef_per_ev_cell": 8.082, "density_g_cm3": 4.37, "total_energy_ev_per_atom": -2.88, "cell": [[-5.563, -1.048, 3.929], [0.392, -4.458, -0.634], [4.022, -0.439, 5.577]], "species": ["Cs", "Cs", "B", "Bi", "Se"], "frac_coords": [[0.000, 0.000, 0.500], [0.500, 0.000, 0.000], [0.000, 0.000, 0.000], [0.000, 0.500, 0.000], [0.500, 0.500, 0.500]]}

=====

Entry 5:
{"formula": "CsTiBi2B", "functional": "PBE", "state": "relaxed", "ef_ev_per_atom": 0.67, "n_ef_per_ev_cell": 5.754, "density_g_cm3": 7.19, "total_energy_ev_per_atom": -3.97, "cell": [[5.603, 0.000, 0.000], [0.000, 4.483, 0.000], [0.000, 0.000, 5.603]], "species": ["Cs", "B", "Bi", "Bi", "Ti"], "frac_coords": [[0.500, 0.500, 0.500], [0.000, 0.000, 0.000], [0.000, 0.000, 0.500], [0.500, 0.000, 0.000], [0.000, 0.500, 0.000]]}

=====

Entry 6:
{"formula": "Cs2ZrBiB", "functional": "PBE", "state": "relaxed", "ef_ev_per_atom": 0.87, "n_ef_per_ev_cell": 3.821, "density_g_cm3": 4.73, "polymorph_energy_ev_per_atom": 0.0000, "total_energy_ev_per_atom": -3.30, "cell": [[6.742, 0.000, 0.000], [0.000, 4.452, 0.000], [0.000, 0.000, 6.742]], "species": ["Cs", "Cs", "B", "Bi", "Zr"], "frac_coords": [[0.000, 0.000, 0.500], [0.500, 0.000, 0.000], [0.000, 0.000, 0.000], [0.500, 0.500, 0.500], [0.000, 0.500, 0.000]]}